## TlIn4HgBi (PBE)

Data for a relaxed TlIn4HgBi crystal.

a b c (Å): 8.295 8.295 11.072
angles (deg): 53.47 53.47 46.25
Atoms (fractional coordinates):
Tl 0.083 0.083 0.774
Tl 0.917 0.917 0.226
Bi 0.289 0.289 0.290
Bi 0.711 0.711 0.710
In 0.356 0.356 0.505
In 0.570 0.570 0.077
In 0.430 0.430 0.923
In 0.644 0.644 0.495
In 0.328 0.857 0.301
In 0.143 0.672 0.699
In 0.672 0.143 0.699
In 0.857 0.328 0.301
Hg 0.191 0.191 0.958
Hg 0.809 0.809 0.042

Calculated values
Fermi-level density of states (states/eV/f.u.): 2.7
E_form (eV/atom): 0.045